A plane-wave DFT calculation with GGA-PBE was carried out for Ga12Te5Se3 after structural relaxation.

Cell and atoms, written as CIF:
```
data_Ga12Te5Se3
_chemical_formula_sum 'Ga96 Te40 Se24'
_space_group_name_H-M_alt 'I a -3 d'
_space_group_IT_number 230
_space_group_name_Hall '-I 4bd 2c 3'
_cell_length_a 16.935
_cell_length_b 16.935
_cell_length_c 16.935
_cell_angle_alpha 90.00
_cell_angle_beta 90.00
_cell_angle_gamma 90.00
loop_
_atom_site_label
_atom_site_type_symbol
_atom_site_fract_x
_atom_site_fract_y
_atom_site_fract_z
_atom_site_occupancy
Ga1 Ga 0.004 0.067 0.162 1
Te1 Te 0.000 0.000 0.000 1
Te2 Te 0.000 0.250 0.375 1
Se1 Se 0.000 0.250 0.125 1
```

=====

A plane-wave DFT calculation with GGA-PBE was carried out for GaTeSe3 after structural relaxation.

Computed properties:
distance to the lowest polymorph of the same formula	15	meV per atom

Cell and atoms, written as CIF:
```
data_GaTeSe3
_chemical_formula_sum 'Ga1 Te1 Se3'
_space_group_name_H-M_alt 'P m -3 m'
_space_group_IT_number 221
_space_group_name_Hall '-P 4 2 3'
_cell_length_a 5.403
_cell_length_b 5.403
_cell_length_c 5.403
_cell_angle_alpha 90.00
_cell_angle_beta 90.00
_cell_angle_gamma 90.00
loop_
_atom_site_label
_atom_site_type_symbol
_atom_site_fract_x
_atom_site_fract_y
_atom_site_fract_z
_atom_site_occupancy
Ga1 Ga 0.000 0.000 0.000 1
Te1 Te 0.500 0.500 0.500 1
Se1 Se 0.000 0.500 0.500 1
```

=====

A plane-wave DFT calculation with GGA-PBE was carried out for GaTeSe3 after structural relaxation.

Computed properties:
distance to the lowest polymorph of the same formula	0	meV per atom

Cell and atoms, written as CIF:
```
data_GaTeSe3
_chemical_formula_sum 'Ga1 Te1 Se3'
_space_group_name_H-M_alt 'P m -3 m'
_space_group_IT_number 221
_space_group_name_Hall '-P 4 2 3'
_cell_length_a 4.977
_cell_length_b 4.977
_cell_length_c 4.977
_cell_angle_alpha 90.00
_cell_angle_beta 90.00
_cell_angle_gamma 90.00
loop_
_atom_site_label
_atom_site_type_symbol
_atom_site_fract_x
_atom_site_fract_y
_atom_site_fract_z
_atom_site_occupancy
Ga1 Ga 0.000 0.000 0.000 1
Te1 Te 0.500 0.500 0.500 1
Se1 Se 0.000 0.000 0.500 1
```

=====

A plane-wave DFT calculation with GGA-PBE was carried out for GaTe2Se2 after structural relaxation.

Cell and atoms, written as CIF:
```
data_GaTe2Se2
_chemical_formula_sum 'Ga2 Te4 Se4'
_space_group_name_H-M_alt 'P 4/m b m'
_space_group_IT_number 127
_space_group_name_Hall '-P 4 2ab'
_cell_length_a 8.099
_cell_length_b 8.099
_cell_length_c 4.049
_cell_angle_alpha 90.00
_cell_angle_beta 90.00
_cell_angle_gamma 90.00
loop_
_atom_site_label
_atom_site_type_symbol
_atom_site_fract_x
_atom_site_fract_y
_atom_site_fract_z
_atom_site_occupancy
Ga1 Ga 0.000 0.000 0.000 1
Te1 Te 0.161 0.339 0.500 1
Se1 Se 0.168 0.668 0.000 1
```

=====

A plane-wave DFT calculation with GGA-PBE was carried out for Ga2TeSe2 after structural relaxation.

Cell and atoms, written as CIF:
```
data_Ga2TeSe2
_chemical_formula_sum 'Ga8 Te4 Se8'
_space_group_name_H-M_alt 'I 41 m d'
_space_group_IT_number 109
_space_group_name_Hall 'I 4bw -2'
_cell_length_a 7.420
_cell_length_b 7.420
_cell_length_c 10.982
_cell_angle_alpha 90.00
_cell_angle_beta 90.00
_cell_angle_gamma 90.00
loop_
_atom_site_label
_atom_site_type_symbol
_atom_site_fract_x
_atom_site_fract_y
_atom_site_fract_z
_atom_site_occupancy
Ga1 Ga 0.000 0.225 0.000 1
Te1 Te 0.000 0.000 0.604 1
Se1 Se 0.000 0.252 0.223 1
```

=====

A plane-wave DFT calculation with GGA-PBE was carried out for Th6GaTe3Se2 after structural relaxation.

Cell and atoms, written as CIF:
```
data_Th6GaTe3Se2
_chemical_formula_sum 'Th12 Ga2 Te6 Se4'
_space_group_name_H-M_alt 'C 1 2/m 1'
_space_group_IT_number 12
_cell_length_a 19.319
_cell_length_b 4.375
_cell_length_c 8.722
_cell_angle_alpha 90.00
_cell_angle_beta 106.57
_cell_angle_gamma 90.00
loop_
_space_group_symop_operation_xyz
'x,y,z'
'-x,-y,-z'
'-x,y,-z'
'x,-y,z'
'x+1/2,y+1/2,z'
'-x+1/2,-y+1/2,-z'
'-x+1/2,y+1/2,-z'
'x+1/2,-y+1/2,z'
loop_
_atom_site_label
_atom_site_type_symbol
_atom_site_fract_x
_atom_site_fract_y
_atom_site_fract_z
_atom_site_occupancy
Th1 Th 0.008 0.000 0.235 1
Th2 Th 0.160 0.500 0.100 1
Th3 Th 0.172 0.500 0.565 1
Ga1 Ga 0.000 0.500 0.000 1
Te1 Te 0.000 0.500 0.500 1
Te2 Te 0.165 0.000 0.832 1
Se1 Se 0.168 0.000 0.334 1
```

=====

A plane-wave DFT calculation with GGA-PBE was carried out for Th4GaTeSe2 after structural relaxation.

Cell and atoms, written as CIF:
```
data_Th4GaTeSe2
_chemical_formula_sum 'Th8 Ga2 Te2 Se4'
_space_group_name_H-M_alt 'I 4/m m m'
_space_group_IT_number 139
_space_group_name_Hall '-I 4 2'
_cell_length_a 6.094
_cell_length_b 6.094
_cell_length_c 12.235
_cell_angle_alpha 90.00
_cell_angle_beta 90.00
_cell_angle_gamma 90.00
loop_
_atom_site_label
_atom_site_type_symbol
_atom_site_fract_x
_atom_site_fract_y
_atom_site_fract_z
_atom_site_occupancy
Th1 Th 0.000 0.000 0.243 1
Th2 Th 0.000 0.500 0.000 1
Ga1 Ga 0.000 0.000 0.000 1
Te1 Te 0.000 0.000 0.500 1
Se1 Se 0.000 0.500 0.250 1
```

=====

A plane-wave DFT calculation with GGA-PBE was carried out for Th4GaTe2Se after structural relaxation.

Cell and atoms, written as CIF:
```
data_Th4GaTe2Se
_chemical_formula_sum 'Th4 Ga1 Te2 Se1'
_space_group_name_H-M_alt 'P 1 2/m 1'
_space_group_IT_number 10
_cell_length_a 7.381
_cell_length_b 4.369
_cell_length_c 7.817
_cell_angle_alpha 90.00
_cell_angle_beta 109.36
_cell_angle_gamma 90.00
loop_
_space_group_symop_operation_xyz
'x,y,z'
'-x,-y,-z'
'-x,y,-z'
'x,-y,z'
loop_
_atom_site_label
_atom_site_type_symbol
_atom_site_fract_x
_atom_site_fract_y
_atom_site_fract_z
_atom_site_occupancy
Th1 Th 0.240 0.000 0.220 1
Th2 Th 0.260 0.500 0.780 1
Ga1 Ga 0.000 0.500 0.000 1
Te1 Te 0.000 0.000 0.500 1
Te2 Te 0.500 0.500 0.500 1
Se1 Se 0.500 0.000 0.000 1
```

=====

A plane-wave DFT calculation with GGA-PBE was carried out for Tl2GaTeSe4 after structural relaxation.

Cell and atoms, written as CIF:
```
data_Tl2GaTeSe4
_chemical_formula_sum 'Tl4 Ga2 Te2 Se8'
_space_group_name_H-M_alt 'C 1 2 1'
_space_group_IT_number 5
_cell_length_a 10.748
_cell_length_b 8.095
_cell_length_c 7.634
_cell_angle_alpha 90.00
_cell_angle_beta 133.64
_cell_angle_gamma 90.00
loop_
_space_group_symop_operation_xyz
'x,y,z'
'-x,y,-z'
'x+1/2,y+1/2,z'
'-x+1/2,y+1/2,-z'
loop_
_atom_site_label
_atom_site_type_symbol
_atom_site_fract_x
_atom_site_fract_y
_atom_site_fract_z
_atom_site_occupancy
Tl1 Tl 0.000 0.000 0.000 1
Tl2 Tl 0.000 0.177 0.500 1
Ga1 Ga 0.000 0.679 0.500 1
Te1 Te 0.000 0.414 0.000 1
Se1 Se 0.180 0.510 0.478 1
Se2 Se 0.190 0.843 0.875 1
```

=====

A plane-wave DFT calculation with GGA-PBE was carried out for TlGa2TeSe6 after structural relaxation.

Cell and atoms, written as CIF:
```
data_TlGa2TeSe6
_chemical_formula_sum 'Tl4 Ga8 Te4 Se24'
_space_group_name_H-M_alt 'C 1 2/c 1'
_space_group_IT_number 15
_cell_length_a 13.497
_cell_length_b 11.268
_cell_length_c 7.666
_cell_angle_alpha 90.00
_cell_angle_beta 108.22
_cell_angle_gamma 90.00
loop_
_space_group_symop_operation_xyz
'x,y,z'
'-x,-y,-z'
'-x,y,-z+1/2'
'x,-y,z+1/2'
'x+1/2,y+1/2,z'
'-x+1/2,-y+1/2,-z'
'-x+1/2,y+1/2,-z+1/2'
'x+1/2,-y+1/2,z+1/2'
loop_
_atom_site_label
_atom_site_type_symbol
_atom_site_fract_x
_atom_site_fract_y
_atom_site_fract_z
_atom_site_occupancy
Tl1 Tl 0.000 0.185 0.250 1
Ga1 Ga 0.203 0.424 0.208 1
Te1 Te 0.000 0.238 0.750 1
Se1 Se 0.104 0.072 0.644 1
Se2 Se 0.123 0.442 0.454 1
Se3 Se 0.168 0.219 0.088 1
```

=====

A plane-wave DFT calculation with GGA-PBE was carried out for Tm6GaTe2Se3 after structural relaxation.

Cell and atoms, written as CIF:
```
data_Tm6GaTe2Se3
_chemical_formula_sum 'Tm12 Ga2 Te4 Se6'
_space_group_name_H-M_alt 'C 1 2/m 1'
_space_group_IT_number 12
_cell_length_a 7.255
_cell_length_b 12.486
_cell_length_c 7.111
_cell_angle_alpha 90.00
_cell_angle_beta 109.76
_cell_angle_gamma 90.00
loop_
_space_group_symop_operation_xyz
'x,y,z'
'-x,-y,-z'
'-x,y,-z'
'x,-y,z'
'x+1/2,y+1/2,z'
'-x+1/2,-y+1/2,-z'
'-x+1/2,y+1/2,-z'
'x+1/2,-y+1/2,z'
loop_
_atom_site_label
_atom_site_type_symbol
_atom_site_fract_x
_atom_site_fract_y
_atom_site_fract_z
_atom_site_occupancy
Tm1 Tm 0.216 0.000 0.238 1
Tm2 Tm 0.238 0.153 0.757 1
Ga1 Ga 0.000 0.000 0.500 1
Te1 Te 0.000 0.335 0.500 1
Se1 Se 0.000 0.177 0.000 1
Se2 Se 0.000 0.500 0.000 1
```

=====

A plane-wave DFT calculation with GGA-PBE was carried out for Tm8Ga3Te3Se after structural relaxation.

Cell and atoms, written as CIF:
```
data_Tm8Ga3Te3Se
_chemical_formula_sum 'Tm24 Ga9 Te9 Se3'
_space_group_name_H-M_alt 'R -3 m'
_space_group_IT_number 166
_space_group_name_Hall '-R 3 2"'
_cell_length_a 8.2079
_cell_length_b 8.2079
_cell_length_c 21.1379
_cell_angle_alpha 90.00
_cell_angle_beta 90.00
_cell_angle_gamma 120.00
loop_
_atom_site_label
_atom_site_type_symbol
_atom_site_fract_x
_atom_site_fract_y
_atom_site_fract_z
_atom_site_occupancy
Tm1 Tm 0.0000 0.0000 0.2430 1
Tm2 Tm 0.0130 0.5065 0.7568 1
Ga1 Ga 0.0000 0.5000 0.5000 1
Te1 Te 0.0000 0.5000 0.0000 1
Se1 Se 0.0000 0.0000 0.5000 1
```

=====

A plane-wave DFT calculation with GGA-PBE was carried out for Tm8GaTe4Se3 after structural relaxation.

Cell and atoms, written as CIF:
```
data_Tm8GaTe4Se3
_chemical_formula_sum 'Tm24 Ga3 Te12 Se9'
_space_group_name_H-M_alt 'R -3 m'
_space_group_IT_number 166
_space_group_name_Hall '-R 3 2"'
_cell_length_a 8.2941
_cell_length_b 8.2941
_cell_length_c 20.9112
_cell_angle_alpha 90.00
_cell_angle_beta 90.00
_cell_angle_gamma 120.00
loop_
_atom_site_label
_atom_site_type_symbol
_atom_site_fract_x
_atom_site_fract_y
_atom_site_fract_z
_atom_site_occupancy
Tm1 Tm 0.0000 0.0000 0.2386 1
Tm2 Tm 0.0093 0.5046 0.2391 1
Ga1 Ga 0.0000 0.0000 0.5000 1
Te1 Te 0.0000 0.0000 0.0000 1
Te2 Te 0.0000 0.5000 0.0000 1
Se1 Se 0.0000 0.5000 0.5000 1
```

=====

A plane-wave DFT calculation with GGA-PBE was carried out for Tm4GaTeSe2 after structural relaxation.

Cell and atoms, written as CIF:
```
data_Tm4GaTeSe2
_chemical_formula_sum 'Tm4 Ga1 Te1 Se2'
_space_group_name_H-M_alt 'P 1 2/m 1'
_space_group_IT_number 10
_cell_length_a 7.177
_cell_length_b 4.038
_cell_length_c 7.287
_cell_angle_alpha 90.00
_cell_angle_beta 108.76
_cell_angle_gamma 90.00
loop_
_space_group_symop_operation_xyz
'x,y,z'
'-x,-y,-z'
'-x,y,-z'
'x,-y,z'
loop_
_atom_site_label
_atom_site_type_symbol
_atom_site_fract_x
_atom_site_fract_y
_atom_site_fract_z
_atom_site_occupancy
Tm1 Tm 0.244 0.000 0.224 1
Tm2 Tm 0.254 0.500 0.764 1
Ga1 Ga 0.500 0.000 0.000 1
Te1 Te 0.500 0.500 0.500 1
Se1 Se 0.000 0.000 0.500 1
Se2 Se 0.000 0.500 0.000 1
```

=====

A plane-wave DFT calculation with GGA-PBE was carried out for Tm6GaTe3Se2 after structural relaxation.

Cell and atoms, written as CIF:
```
data_Tm6GaTe3Se2
_chemical_formula_sum 'Tm12 Ga2 Te6 Se4'
_space_group_name_H-M_alt 'C 1 2/m 1'
_space_group_IT_number 12
_cell_length_a 7.205
_cell_length_b 12.453
_cell_length_c 7.376
_cell_angle_alpha 90.00
_cell_angle_beta 108.91
_cell_angle_gamma 90.00
loop_
_space_group_symop_operation_xyz
'x,y,z'
'-x,-y,-z'
'-x,y,-z'
'x,-y,z'
'x+1/2,y+1/2,z'
'-x+1/2,-y+1/2,-z'
'-x+1/2,y+1/2,-z'
'x+1/2,-y+1/2,z'
loop_
_atom_site_label
_atom_site_type_symbol
_atom_site_fract_x
_atom_site_fract_y
_atom_site_fract_z
_atom_site_occupancy
Tm1 Tm 0.234 0.162 0.218 1
Tm2 Tm 0.248 0.000 0.779 1
Ga1 Ga 0.000 0.000 0.000 1
Te1 Te 0.000 0.171 0.500 1
Te2 Te 0.000 0.500 0.500 1
Se1 Se 0.000 0.334 0.000 1
```

=====

A plane-wave DFT calculation with GGA-PBE was carried out for Y8Ga3Te4Se after structural relaxation.

Cell and atoms, written as CIF:
```
data_Y8Ga3Te4Se
_chemical_formula_sum 'Y24 Ga9 Te12 Se3'
_space_group_name_H-M_alt 'R -3 m'
_space_group_IT_number 166
_space_group_name_Hall '-R 3 2"'
_cell_length_a 8.3984
_cell_length_b 8.3984
_cell_length_c 21.7050
_cell_angle_alpha 90.00
_cell_angle_beta 90.00
_cell_angle_gamma 120.00
loop_
_atom_site_label
_atom_site_type_symbol
_atom_site_fract_x
_atom_site_fract_y
_atom_site_fract_z
_atom_site_occupancy
Y1 Y 0.0000 0.0000 0.2441 1
Y2 Y 0.0044 0.5022 0.7580 1
Ga1 Ga 0.0000 0.5000 0.5000 1
Te1 Te 0.0000 0.0000 0.0000 1
Te2 Te 0.0000 0.5000 0.0000 1
Se1 Se 0.0000 0.0000 0.5000 1
```

=====

A plane-wave DFT calculation with GGA-PBE was carried out for ZnGaTeSe after structural relaxation.

Cell and atoms, written as CIF:
```
data_ZnGaTeSe
_chemical_formula_sum 'Zn1 Ga1 Te1 Se1'
_space_group_name_H-M_alt 'P 3 m 1'
_space_group_IT_number 156
_cell_length_a 4.0292
_cell_length_b 4.0292
_cell_length_c 7.8657
_cell_angle_alpha 90.00
_cell_angle_beta 90.00
_cell_angle_gamma 120.00
loop_
_space_group_symop_operation_xyz
'x,y,z'
'-y,x-y,z'
'-x+y,-x,z'
'-y,-x,z'
'-x+y,y,z'
'x,x-y,z'
loop_
_atom_site_label
_atom_site_type_symbol
_atom_site_fract_x
_atom_site_fract_y
_atom_site_fract_z
_atom_site_occupancy
Zn1 Zn 0.0000 0.0000 0.0000 1
Ga1 Ga 0.0000 0.0000 0.3148 1
Te1 Te 0.3333 0.6667 0.8515 1
Se1 Se 0.6667 0.3333 0.4539 1
```

=====

A plane-wave DFT calculation with GGA-PBE was carried out for ThGaSe4 after structural relaxation.

Cell and atoms, written as CIF:
```
data_ThGaSe4
_chemical_formula_sum 'Th4 Ga4 Se16'
_space_group_name_H-M_alt 'I 41/a m d'
_space_group_IT_number 141
_cell_length_a 9.535
_cell_length_b 9.535
_cell_length_c 8.146
_cell_angle_alpha 90.00
_cell_angle_beta 90.00
_cell_angle_gamma 90.00
loop_
_space_group_symop_operation_xyz
'x,y,z'
'-x,-y,-z'
'-y+1/4,x+3/4,z+1/4'
'y+1/4,-x+3/4,-z+1/4'
'-x+1/2,-y,z+1/2'
'x+1/2,y,-z+1/2'
'y+1/4,-x+1/4,z+3/4'
'-y+1/4,x+1/4,-z+3/4'
'x,-y,-z'
'-x,y,z'
'-y+1/4,-x+1/4,-z+3/4'
'y+1/4,x+1/4,z+3/4'
'-x+1/2,y,-z+1/2'
'x+1/2,-y,z+1/2'
'y+1/4,x+3/4,-z+1/4'
'-y+1/4,-x+3/4,z+1/4'
'x+1/2,y+1/2,z+1/2'
'-x+1/2,-y+1/2,-z+1/2'
'-y+3/4,x+1/4,z+3/4'
'y+3/4,-x+1/4,-z+3/4'
'-x,-y+1/2,z'
'x,y+1/2,-z'
'y+3/4,-x+3/4,z+1/4'
'-y+3/4,x+3/4,-z+1/4'
'x+1/2,-y+1/2,-z+1/2'
'-x+1/2,y+1/2,z+1/2'
'-y+3/4,-x+3/4,-z+1/4'
'y+3/4,x+3/4,z+1/4'
'-x,y+1/2,-z'
'x,-y+1/2,z'
'y+3/4,x+1/4,-z+3/4'
'-y+3/4,-x+1/4,z+3/4'
loop_
_atom_site_label
_atom_site_type_symbol
_atom_site_fract_x
_atom_site_fract_y
_atom_site_fract_z
_atom_site_occupancy
Th1 Th 0.000 0.250 0.375 1
Ga1 Ga 0.000 0.250 0.875 1
Se1 Se 0.000 0.064 0.672 1
```

=====

A plane-wave DFT calculation with GGA-PBE was carried out for Th5GaSe4 after structural relaxation.

Cell and atoms, written as CIF:
```
data_Th5GaSe4
_chemical_formula_sum 'Th10 Ga2 Se8'
_space_group_name_H-M_alt 'I 4/m'
_space_group_IT_number 87
_space_group_name_Hall '-I 4'
_cell_length_a 9.493
_cell_length_b 9.493
_cell_length_c 5.967
_cell_angle_alpha 90.00
_cell_angle_beta 90.00
_cell_angle_gamma 90.00
loop_
_atom_site_label
_atom_site_type_symbol
_atom_site_fract_x
_atom_site_fract_y
_atom_site_fract_z
_atom_site_occupancy
Th1 Th 0.000 0.000 0.000 1
Th2 Th 0.101 0.297 0.500 1
Ga1 Ga 0.000 0.000 0.500 1
Se1 Se 0.100 0.301 0.000 1
```

=====

no.,uncorrected formation energy (meV/atom)
1,-54
2,322
3,307
4,128
5,-518
6,-1125
7,-1128
8,-1050
9,-298
10,-255
11,-1366
12,-884
13,-1343
14,-1300
15,-1316
16,-1146
17,-283
18,-931
19,-1345